[1]
Entry from Alexandria: Hf2Hg at its PBEsol-relaxed geometry (SCAN).

Output
Density of states at the Fermi level = 0.7703 states/eV per atom
E = -64.7367 eV per atom

Unit cell a=3.2894 b=3.2894 c=6.2355 alpha=105.29 beta=105.29 gamma=90.00
Fractional coordinates of all 3 atoms:
Hf: 0.3344 0.3344 0.6689
Hf: 0.6656 0.6656 0.3311
Hg: 0.0000 0.0000 0.0000


[2]
Entry from Alexandria: V2AgP3O11 at its PBEsol-relaxed geometry (SCAN).

Output
Raw formation energy = -2377 meV per atom

Unit cell a=7.1966 b=7.1966 c=8.7240 alpha=69.83 beta=69.83 gamma=72.95
Fractional coordinates of all 34 atoms:
V: 0.8879 0.3654 0.2082
V: 0.6346 0.1121 0.7919
V: 0.1103 0.6364 0.2919
V: 0.3636 0.8897 0.7081
Ag: 0.9978 0.5023 0.7507
Ag: 0.4977 0.0022 0.2493
P: 0.3249 0.4527 0.9626
P: 0.5473 0.6751 0.0374
P: 0.6732 0.5491 0.5375
P: 0.4509 0.3268 0.4625
P: 0.9552 0.0448 0.0000
P: 0.0431 0.9569 0.5000
O: 0.5138 0.4862 0.0000
O: 0.4844 0.5156 0.5000
O: 0.6196 0.2812 0.3087
O: 0.7188 0.3804 0.6913
O: 0.3787 0.7206 0.1914
O: 0.2794 0.6213 0.8086
O: 0.7578 0.6180 0.0596
O: 0.3820 0.2422 0.9404
O: 0.2407 0.3838 0.4400
O: 0.6162 0.7593 0.5600
O: 0.9524 0.2553 0.0145
O: 0.7447 0.0476 0.9855
O: 0.0457 0.7464 0.4856
O: 0.2536 0.9543 0.5144
O: 0.0119 0.1241 0.3403
O: 0.8759 0.9881 0.6597
O: 0.9864 0.8776 0.1596
O: 0.1224 0.0136 0.8404
O: 0.1489 0.4721 0.1246
O: 0.5279 0.8511 0.8754
O: 0.8492 0.5297 0.3754
O: 0.4703 0.1508 0.6246


[3]
Entry from Alexandria: SrMnPt at its PBEsol-relaxed geometry (SCAN).

Output
Density of states at the Fermi level = 0.7214 states/eV per atom
E = -37.4728 eV per atom

Unit cell a=4.2009 b=4.2009 c=4.5557 alpha=90.00 beta=90.00 gamma=120.00
Fractional coordinates of all 3 atoms:
Mn: 0.0000 0.0000 0.0000
Pt: 0.3333 0.6667 0.0000
Sr: 0.6667 0.3333 0.5000


[4]
Entry from Alexandria: InBiOs2O at its PBEsol-relaxed geometry (SCAN).

Output
Density of states at the Fermi level = 1.2953 states/eV per atom
Raw formation energy = 2689 meV per atom

Unit cell a=4.9804 b=4.9804 c=5.9690 alpha=90.00 beta=90.00 gamma=90.00
Fractional coordinates of all 5 atoms:
Os: 0.0000 0.5000 0.0000
Os: 0.5000 0.0000 0.0000
Bi: 0.0000 0.0000 0.0000
O: 0.5000 0.5000 0.5000
In: 0.0000 0.0000 0.5000


[5]
Entry from Alexandria: ScHg2Cl at its PBEsol-relaxed geometry (SCAN).

Output
Density of states at the Fermi level = 0.8225 states/eV per atom
Raw formation energy = -485 meV per atom

Unit cell a=3.9749 b=3.9749 c=5.4053 alpha=90.00 beta=90.00 gamma=90.00
Fractional coordinates of all 4 atoms:
Sc: 0.5000 0.5000 0.5000
Hg: 0.0000 0.5000 0.0000
Hg: 0.5000 0.0000 0.0000
Cl: 0.0000 0.0000 0.5000


[6]
Entry from Alexandria: CaSb2C at its PBEsol-relaxed geometry (SCAN).

Output
Density of states at the Fermi level = 0.1294 states/eV per atom
Raw formation energy = 331 meV per atom

Unit cell a=6.2688 b=6.2688 c=6.2688 alpha=102.83 beta=112.89 gamma=112.89
Fractional coordinates of all 8 atoms:
Sb: 0.8950 0.5200 0.1250
Sb: 0.1050 0.2300 0.6250
Sb: 0.6050 0.3750 0.4800
Sb: 0.3950 0.8750 0.7700
Ca: 0.0000 0.0000 0.0000
Ca: 0.5000 0.7500 0.2500
C: 0.0000 0.5000 0.5000
C: 0.5000 0.2500 0.7500


[7]
Entry from Alexandria: HfNb2Ga2 at its PBEsol-relaxed geometry (SCAN).

Output
Density of states at the Fermi level = 0.6696 states/eV per atom
E = -32.8495 eV per atom

Unit cell a=3.4702 b=7.0129 c=7.0129 alpha=90.00 beta=90.00 gamma=90.00
Fractional coordinates of all 10 atoms:
Nb: 0.5000 0.1747 0.6747
Nb: 0.5000 0.6747 0.8253
Nb: 0.5000 0.8253 0.3253
Nb: 0.5000 0.3253 0.1747
Hf: 0.0000 0.0000 0.0000
Hf: 0.0000 0.5000 0.5000
Ga: 0.0000 0.3756 0.8756
Ga: 0.0000 0.8756 0.6244
Ga: 0.0000 0.6244 0.1244
Ga: 0.0000 0.1244 0.3756


[8]
Entry from Alexandria: SrLi4Ag at its PBEsol-relaxed geometry (SCAN).

Output
Density of states at the Fermi level = 0.6128 states/eV per atom
E = -10.5348 eV per atom

Unit cell a=5.6887 b=5.6887 c=5.6887 alpha=60.00 beta=60.00 gamma=60.00
Fractional coordinates of all 6 atoms:
Sr: 0.7500 0.7500 0.7500
Ag: 0.0000 0.0000 0.0000
Li: 0.8827 0.3724 0.3724
Li: 0.3724 0.3724 0.3724
Li: 0.3724 0.3724 0.8827
Li: 0.3724 0.8827 0.3724


[9]
Entry from Alexandria: TiNbSbO6 at its PBEsol-relaxed geometry (SCAN).

Output
Density of states at the Fermi level = 0.0000 states/eV per atom
Raw formation energy = -2575 meV per atom

Unit cell a=4.8509 b=5.5222 c=8.6016 alpha=91.47 beta=106.24 gamma=90.95
Fractional coordinates of all 18 atoms:
Ti: 0.9286 0.6748 0.3468
Ti: 0.0714 0.3252 0.6532
Nb: 0.5899 0.8190 0.6535
Nb: 0.4101 0.1810 0.3465
Sb: 0.2955 0.7431 0.0030
Sb: 0.7045 0.2569 0.9970
O: 0.6485 0.5806 0.1389
O: 0.5121 0.9177 0.8648
O: 0.3515 0.4194 0.8611
O: 0.4879 0.0823 0.1352
O: 0.6643 0.8490 0.4374
O: 0.2211 0.6489 0.5586
O: 0.3357 0.1510 0.5626
O: 0.7789 0.3511 0.4414
O: 0.0980 0.9190 0.2723
O: 0.8338 0.5700 0.7314
O: 0.9020 0.0810 0.7277
O: 0.1662 0.4300 0.2686


[10]
Entry from Alexandria: LiY2Mo at its PBEsol-relaxed geometry (SCAN).

Output
Density of states at the Fermi level = 1.2092 states/eV per atom
E = -22.7936 eV per atom

Unit cell a=3.3838 b=3.3838 c=10.1217 alpha=80.38 beta=80.38 gamma=60.00
Fractional coordinates of all 4 atoms:
Li: 0.5000 0.5000 0.5000
Mo: 0.0000 0.0000 0.0000
Y: 0.2634 0.2634 0.2099
Y: 0.7366 0.7366 0.7901